(1)
## SmHo2Cd (PBE)

Data for a geometry-optimized SmHo2Cd structure.

Unit cell a=3.6032 b=3.6032 c=32.2056 alpha=90.00 beta=90.00 gamma=120.00
With the nearest neighbours (Å) after each atom.
Space group R3m (No. 160, hexagonal axes)
Inequivalent atoms, fractional coordinates:
Sm: 0.0000 0.0000 0.0000 (multiplicity 3)  6 Ho 3.57, 6 Sm 3.60
Ho: 0.0000 0.0000 0.5766 (multiplicity 3)  3 Cd 3.23, 3 Sm 3.57, 6 Ho 3.60
Ho: 0.0000 0.0000 0.7567 (multiplicity 3)  3 Cd 3.22, 3 Sm 3.57, 6 Ho 3.60
Cd: 0.0000 0.0000 0.1665 (multiplicity 3)  6 Ho 3.22-3.23, 6 Cd 3.60

Formation enthalpy at 0 K ... -0.059 eV/atom
Offset from the most stable computed form ... 90.2 meV/atom

---

(2)
## AsSe2SBr (PBE)

Data for a geometry-optimized AsSe2SBr structure.

Unit cell a=4.8537 b=4.8537 c=5.0759 alpha=90.00 beta=90.00 gamma=90.00
With the nearest neighbours (Å) after each atom.
Space group P4/mmm (No. 123)
Inequivalent atoms, fractional coordinates:
As: 0.0000 0.0000 0.0000 (multiplicity 1)  2 S 2.54
Se: 0.0000 0.5000 0.5000 (multiplicity 2)  2 S 2.43
S: 0.0000 0.0000 0.5000 (multiplicity 1)  4 Se 2.43, 2 As 2.54
Br: 0.5000 0.5000 0.0000 (multiplicity 1)  4 As 3.43, 8 Se 3.51

Offset from the most stable computed form ... 0.0 meV/atom
ΔE_f (raw) ... 0.676 eV per atom

---

(3)
## Pr3In2Sn (PBE)

Data for a geometry-optimized Pr3In2Sn structure.

Unit cell a=5.6772 b=17.1105 c=3.6664 alpha=90.00 beta=90.00 gamma=90.00
With the nearest neighbours (Å) after each atom.
Space group Pmmn (No. 59, origin choice 2)
Inequivalent atoms, fractional coordinates:
Pr: 0.2500 0.0865 0.0006 (multiplicity 4)  2 Sn 3.34-3.35, 6 In 3.38, 2 Pr 3.67
Pr: 0.2500 0.7500 0.9982 (multiplicity 2)  4 Sn 3.38, 4 In 3.44-3.45, 2 Pr 3.67
In: 0.2500 0.5795 0.4994 (multiplicity 4)  8 Pr 3.38-3.45, 2 In 3.67
Sn: 0.2500 0.2500 0.5016 (multiplicity 2)  8 Pr 3.34-3.38, 2 Sn 3.67

Formation enthalpy at 0 K ... -0.539 eV/atom
Offset from the most stable computed form ... 9.1 meV/atom

---

(4)
## Sr2Hg2Bi3 (PBE)

Data for a geometry-optimized Sr2Hg2Bi3 structure.

Unit cell a=12.1697 b=4.8801 c=7.9242 alpha=90.00 beta=102.75 gamma=90.00
With the nearest neighbours (Å) after each atom.
Space group C2/m (No. 12)
Inequivalent atoms, fractional coordinates:
Sr: 0.1329 0.0000 0.2643 (multiplicity 4)  2 Hg 3.44, 6 Bi 3.52-3.66
Hg: 0.1094 0.5000 0.9515 (multiplicity 4)  1 Hg 2.93, 2 Bi 3.12
Bi: 0.0000 0.5000 0.5000 (multiplicity 2)  4 Bi 3.37, 2 Hg 3.53, 4 Sr 3.66
Bi: 0.1554 0.0000 0.7313 (multiplicity 4)  3 Hg 3.12-3.37, 2 Bi 3.37

Formation enthalpy at 0 K ... -0.499 eV/atom
Offset from the most stable computed form ... 0.0 meV/atom

---

- The highest offset from the most stable computed form belongs to which entry?
  SmHo2Cd

---

- Look up the offset from the most stable computed form of the fourth one.
  0.0 meV/atom